No. 1
Compound: Cs2Tl3Pd
Source: Alexandria via LeMat-Bulk
Functional: GGA-PBE
Structure: relaxed

Cell and atoms, written as extended XYZ:
```
12
Lattice="7.361 -5.489 0.000 7.361 5.489 0.000 0.000 0.000 6.458" Properties=species:S:1:pos:R:3 pbc="T T T"
Cs 2.315 1.546 0.000
Cs 2.315 -1.546 3.229
Cs 12.407 1.546 0.000
Cs 12.407 -1.546 3.229
Tl 7.361 2.547 6.417
Tl 5.625 0.320 4.532
Tl 5.625 -0.320 1.303
Tl 9.097 0.320 4.532
Tl 9.097 -0.320 1.303
Tl 7.361 -2.547 3.188
Pd 7.361 1.509 2.566
Pd 7.361 -1.509 5.795
```

- E above lowest polymorph: 0.000 eV/f.u.
- Total magnetic moment: 0.000 μB/f.u.
- Formation enthalpy at 0 K: -0.709 eV per formula unit

No. 2
Compound: GeS2NO
Source: Alexandria via LeMat-Bulk
Functional: GGA-PBE
Structure: relaxed

Cell and atoms, written as extended XYZ:
```
5
Lattice="4.871 0.000 0.000 0.000 4.871 0.000 0.000 0.000 3.682" Properties=species:S:1:pos:R:3 pbc="T T T"
Ge 0.000 0.000 0.000
S 0.000 2.436 0.000
S 2.436 0.000 0.000
N 0.000 0.000 1.841
O 2.436 2.436 1.841
```

- E above lowest polymorph: 0.366 eV/f.u.
- Total magnetic moment: 5.006 μB/f.u.
- Formation energy from raw total energies: 1.425 eV/atom

No. 3
Compound: ErSeO
Source: Alexandria via LeMat-Bulk
Functional: GGA-PBE
Structure: relaxed

Cell and atoms, written as extended XYZ:
```
3
Lattice="3.680 0.000 0.000 -1.840 3.187 0.000 0.000 0.000 5.032" Properties=species:S:1:pos:R:3 pbc="T T T"
Er 0.000 0.000 0.000
Se 0.000 2.125 2.516
O 1.840 1.062 0.000
```

- Total magnetic moment: 0.001 μB/f.u.
- Formation energy from raw total energies: -2.143 eV/atom

No. 4
Compound: ZnRe2W
Source: Alexandria via LeMat-Bulk
Functional: GGA-PBE
Structure: relaxed

Cell and atoms, written as extended XYZ:
```
4
Lattice="1.541 -2.222 0.000 1.541 2.222 0.000 0.000 0.000 8.929" Properties=species:S:1:pos:R:3 pbc="T T T"
Zn 0.000 0.000 0.000
Re 1.541 0.000 2.248
Re 1.541 0.000 6.681
W 0.000 0.000 4.465
```

- Total magnetic moment: 0.000 μB/f.u.
- Formation enthalpy at 0 K: 0.781 eV per formula unit

No. 5
Compound: Sm12Dy2In
Source: Alexandria via LeMat-Bulk
Functional: GGA-PBE
Structure: relaxed

Cell and atoms, written as extended XYZ:
```
30
Lattice="3.621 -5.731 0.000 3.621 5.731 0.000 0.000 0.000 24.391" Properties=species:S:1:pos:R:3 pbc="T T T"
Sm 1.821 2.865 2.947
Sm 3.621 5.718 22.640
Sm 1.949 2.865 14.339
Sm 3.621 5.450 10.709
Sm 1.810 0.000 4.759
Sm 1.810 0.000 7.882
Sm 1.810 0.000 16.509
Sm 1.810 0.000 19.633
Sm 3.621 0.280 10.709
Sm 5.293 2.865 14.339
Sm 3.621 0.013 22.640
Sm 5.421 2.865 2.947
Sm 1.821 -2.865 21.444
Sm 3.621 -0.013 1.752
Sm 1.949 -2.865 10.052
Sm 3.621 -0.280 13.683
Sm 5.431 0.000 4.759
Sm 5.431 0.000 7.882
Sm 5.431 0.000 16.509
Sm 5.431 0.000 19.633
Sm 3.621 -5.450 13.683
Sm 5.293 -2.865 10.052
Sm 3.621 -5.718 1.752
Sm 5.421 -2.865 21.444
Dy 3.621 2.865 6.460
Dy 3.621 2.865 18.036
Dy 3.621 -2.865 6.356
Dy 3.621 -2.865 17.932
In 3.621 2.865 0.007
In 3.621 -2.865 24.385
```

- Total magnetic moment: 0.001 μB/f.u.
- Formation enthalpy at 0 K: 1.424 eV per formula unit

No. 6
Compound: BaTcBr2
Source: Alexandria via LeMat-Bulk
Functional: GGA-PBE
Structure: relaxed

Cell and atoms, written as extended XYZ:
```
4
Lattice="-2.252 2.252 6.104 2.252 -2.252 6.104 2.252 2.252 -6.104" Properties=species:S:1:pos:R:3 pbc="T T T"
Ba 0.000 0.000 0.000
Tc 0.000 2.252 3.052
Br 2.252 0.000 3.052
Br 0.000 0.000 6.104
```

- E above lowest polymorph: 1.105 eV/f.u.
- Total magnetic moment: 3.900 μB/f.u.
- Formation energy from raw total energies: -0.092 eV/atom

No. 7
Compound: La2Tb6Pr3Er
Source: Alexandria via LeMat-Bulk
Functional: GGA-PBE
Structure: relaxed

Cell and atoms, written as extended XYZ:
```
12
Lattice="3.147 -5.450 0.000 3.147 5.450 0.000 -2.092 0.000 11.774" Properties=species:S:1:pos:R:3 pbc="T T T"
La 3.147 3.636 0.000
La 3.147 -3.636 0.000
Tb 0.008 1.810 8.836
Tb 1.060 0.000 2.941
Tb 0.008 -1.810 8.836
Tb 4.194 1.810 2.938
Tb 3.142 0.000 8.833
Tb 4.194 -1.810 2.938
Pr -1.046 0.000 5.887
Pr 2.101 1.818 5.887
Pr 2.101 -1.818 5.887
Er 3.147 0.000 0.000
```

- Total magnetic moment: 0.000 μB/f.u.
- Formation enthalpy at 0 K: 0.178 eV per formula unit

No. 8
Compound: Ce2Co5Ni5
Source: Alexandria via LeMat-Bulk
Functional: GGA-PBE
Structure: relaxed

Cell and atoms, written as extended XYZ:
```
12
Lattice="4.030 0.000 0.000 0.000 4.813 0.000 0.000 0.000 8.549" Properties=species:S:1:pos:R:3 pbc="T T T"
Ce 0.000 0.000 0.000
Ce 0.000 2.407 4.275
Co 2.015 0.000 4.275
Co 2.015 1.218 2.172
Co 2.015 1.218 6.378
Co 2.015 3.596 2.172
Co 2.015 3.596 6.378
Ni 0.000 0.000 2.831
Ni 0.000 0.000 5.718
Ni 0.000 2.407 1.424
Ni 0.000 2.407 7.125
Ni 2.015 2.407 0.000
```

- Total magnetic moment: 6.413 μB/f.u.
- Formation enthalpy at 0 K: -2.648 eV per formula unit

No. 9
Compound: PmZnRh4
Source: Alexandria via LeMat-Bulk
Functional: GGA-PBE
Structure: relaxed

Cell and atoms, written as extended XYZ:
```
12
Lattice="2.001 -8.170 0.000 2.001 8.170 0.000 0.000 0.000 6.240" Properties=species:S:1:pos:R:3 pbc="T T T"
Pm 2.001 6.500 4.680
Pm 2.001 -6.500 1.560
Zn 2.001 4.394 1.560
Zn 2.001 -4.394 4.680
Rh 2.001 6.929 1.560
Rh 2.001 2.734 3.396
Rh 2.001 2.734 5.964
Rh 2.001 0.000 0.000
Rh 2.001 0.000 3.120
Rh 2.001 -2.734 0.276
Rh 2.001 -2.734 2.844
Rh 2.001 -6.929 4.680
```

- E above lowest polymorph: 0.492 eV/f.u.
- Total magnetic moment: 0.000 μB/f.u.
- Formation enthalpy at 0 K: -1.670 eV per formula unit

No. 10
Compound: Ac3Er13
Source: Alexandria via LeMat-Bulk
Functional: GGA-PBE
Structure: relaxed

Cell and atoms, written as extended XYZ:
```
16
Lattice="7.354 0.000 0.000 0.000 5.725 6.323 0.000 -5.725 6.323" Properties=species:S:1:pos:R:3 pbc="T T T"
Ac 0.000 0.000 0.000
Ac 1.860 0.000 9.387
Ac 5.494 0.000 9.387
Er 0.000 -2.907 8.419
Er 0.000 0.000 6.196
Er 0.000 2.907 8.419
Er 1.849 0.000 3.162
Er 1.860 -2.776 5.244
Er 1.860 2.776 5.244
Er 3.677 0.000 12.643
Er 3.677 -2.982 8.384
Er 3.677 0.000 6.198
Er 3.677 2.982 8.384
Er 5.494 -2.776 5.244
Er 5.494 2.776 5.244
Er 5.505 0.000 3.162
```

- Total magnetic moment: 0.000 μB/f.u.
- Formation enthalpy at 0 K: 0.742 eV per formula unit

No. 11
Compound: LiMnSi
Source: Alexandria via LeMat-Bulk
Functional: GGA-PBE
Structure: relaxed

Cell and atoms, written as extended XYZ:
```
6
Lattice="6.596 -1.388 0.000 6.596 1.388 0.000 -0.465 0.000 3.912" Properties=species:S:1:pos:R:3 pbc="T T T"
Li 0.000 0.000 0.000
Li 6.364 0.000 1.956
Mn 2.053 0.000 2.175
Mn 10.674 0.000 1.737
Si 3.971 0.000 3.710
Si 8.757 0.000 0.202
```

- Total magnetic moment: 0.495 μB/f.u.
- Formation energy from raw total energies: -0.088 eV/atom

No. 12
Compound: AlPt3N
Source: Alexandria via LeMat-Bulk
Functional: GGA-PBE
Structure: relaxed

Cell and atoms, written as extended XYZ:
```
5
Lattice="4.193 0.000 0.000 0.000 4.193 0.000 0.000 0.000 4.193" Properties=species:S:1:pos:R:3 pbc="T T T"
Al 0.000 0.000 0.000
Pt 0.000 2.096 2.096
Pt 2.096 0.000 2.096
Pt 2.096 2.096 0.000
N 2.096 2.096 2.096
```

- E above lowest polymorph: 0.000 eV/f.u.
- Total magnetic moment: 0.000 μB/f.u.
- Formation energy from raw total energies: 0.337 eV/atom

No. 13
Compound: Ti2CrPOs
Source: Alexandria via LeMat-Bulk
Functional: GGA-PBE
Structure: relaxed

Cell and atoms, written as extended XYZ:
```
5
Lattice="4.455 0.000 0.000 0.000 4.455 0.000 0.000 0.000 4.066" Properties=species:S:1:pos:R:3 pbc="T T T"
Ti 0.000 2.228 0.000
Ti 2.228 0.000 0.000
Cr 0.000 0.000 2.033
P 0.000 0.000 0.000
Os 2.228 2.228 2.033
```

- Total magnetic moment: 0.000 μB/f.u.
- Formation enthalpy at 0 K: 1.424 eV per formula unit

No. 14
Compound: NdGd3Fe
Source: Alexandria via LeMat-Bulk
Functional: GGA-PBE
Structure: relaxed

Cell and atoms, written as extended XYZ:
```
5
Lattice="5.337 0.000 0.000 0.000 5.337 0.000 0.000 0.000 5.337" Properties=species:S:1:pos:R:3 pbc="T T T"
Nd 0.000 0.000 0.000
Gd 0.000 2.668 2.668
Gd 2.668 0.000 2.668
Gd 2.668 2.668 0.000
Fe 2.668 2.668 2.668
```

- Total magnetic moment: 22.280 μB/f.u.
- Formation enthalpy at 0 K: 0.481 eV per formula unit

No. 15
Compound: TbEr8Mg6
Source: Alexandria via LeMat-Bulk
Functional: GGA-PBE
Structure: relaxed

Cell and atoms, written as extended XYZ:
```
15
Lattice="4.524 2.612 6.397 -4.524 2.612 6.397 0.000 -5.224 6.397" Properties=species:S:1:pos:R:3 pbc="T T T"
Tb 0.000 0.000 0.000
Er -3.012 0.001 8.640
Er -1.507 -2.608 10.552
Er 0.000 0.000 6.461
Er 1.505 -2.609 8.640
Er -1.505 2.609 10.552
Er 0.000 0.000 12.730
Er 1.507 2.608 8.640
Er 3.012 -0.001 10.552
Mg -1.526 -2.609 7.326
Mg -3.023 0.017 11.865
Mg -1.497 2.626 7.326
Mg 1.497 -2.626 11.865
Mg 3.023 -0.017 7.326
Mg 1.526 2.609 11.865
```

- Total magnetic moment: 0.030 μB/f.u.
- Formation enthalpy at 0 K: 3.136 eV per formula unit

No. 16
Compound: Sm4Dy3Sc2
Source: Alexandria via LeMat-Bulk
Functional: GGA-PBE
Structure: relaxed

Cell and atoms, written as extended XYZ:
```
9
Lattice="5.531 -2.495 0.000 5.531 2.495 0.000 -3.257 0.000 10.031" Properties=species:S:1:pos:R:3 pbc="T T T"
Sm -0.548 0.000 1.703
Sm 8.352 0.000 8.328
Sm 1.694 0.000 6.123
Sm 6.111 0.000 3.908
Dy -1.629 0.000 5.015
Dy 0.597 0.000 9.484
Dy 7.208 0.000 0.547
Sc 2.770 0.000 2.771
Sc 5.034 0.000 7.260
```

- E above lowest polymorph: 0.000 eV/f.u.
- Total magnetic moment: 0.000 μB/f.u.
- Formation enthalpy at 0 K: 0.348 eV per formula unit

No. 17
Compound: TeS2BrCl
Source: Alexandria via LeMat-Bulk
Functional: GGA-PBE
Structure: relaxed

Cell and atoms, written as extended XYZ:
```
5
Lattice="5.184 0.000 0.000 0.000 5.184 0.000 0.000 0.000 5.176" Properties=species:S:1:pos:R:3 pbc="T T T"
Te 0.000 0.000 0.000
S 0.000 2.592 0.000
S 2.592 0.000 0.000
Br 2.592 2.592 2.588
Cl 0.000 0.000 2.588
```

- E above lowest polymorph: 0.000 eV/f.u.
- Total magnetic moment: 2.032 μB/f.u.
- Formation energy from raw total energies: 0.481 eV/atom

No. 18
Compound: CaWN2
Source: Alexandria via LeMat-Bulk
Functional: GGA-PBE
Structure: relaxed

Cell and atoms, written as extended XYZ:
```
4
Lattice="1.566 0.904 5.520 -1.566 0.904 5.520 0.000 -1.808 5.520" Properties=species:S:1:pos:R:3 pbc="T T T"
Ca 0.000 0.000 0.000
W 0.000 0.000 8.281
N 0.000 0.000 3.939
N 0.000 0.000 12.622
```

- E above lowest polymorph: 0.000 eV/f.u.
- Total magnetic moment: 0.000 μB/f.u.
- Formation energy from raw total energies: -0.739 eV/atom

No. 19
Compound: Rb2CePdO4
Source: Alexandria via LeMat-Bulk
Functional: GGA-PBE
Structure: relaxed

Cell and atoms, written as extended XYZ:
```
8
Lattice="-3.253 3.253 3.694 3.253 -3.253 3.694 3.253 3.253 -3.694" Properties=species:S:1:pos:R:3 pbc="T T T"
Rb 0.000 0.000 0.000
Rb 0.000 3.253 1.847
Ce 0.000 0.000 3.694
Pd 3.253 0.000 1.847
O 1.414 -0.835 2.310
O 1.839 4.088 -1.384
O 2.418 1.839 1.384
O 0.835 1.414 5.078
```

- Total magnetic moment: 0.000 μB/f.u.
- Formation energy from raw total energies: -1.743 eV/atom

No. 20
Compound: NaPr5Au6
Source: Alexandria via LeMat-Bulk
Functional: GGA-PBE
Structure: relaxed

Cell and atoms, written as extended XYZ:
```
12
Lattice="-2.631 3.733 7.893 2.631 -3.733 7.893 2.631 3.733 -7.893" Properties=species:S:1:pos:R:3 pbc="T T T"
Na 0.000 0.000 0.000
Pr 2.631 0.000 2.419
Pr 0.000 0.000 5.202
Pr 0.000 3.733 0.000
Pr 0.000 0.000 10.583
Pr 0.000 3.733 5.474
Au 2.631 -1.759 5.126
Au 2.631 2.038 0.000
Au 0.000 1.974 2.767
Au 2.631 1.759 5.126
Au 0.000 1.695 7.893
Au 0.000 5.492 2.767
```

- Total magnetic moment: 0.000 μB/f.u.
- Formation enthalpy at 0 K: -8.344 eV per formula unit

Calculated DFT total energy, -2.451 -3.806 -6.478 -9.586 -4.477 -4.001 -4.697 -6.579 -6.183 -4.431 -5.590 -5.701 -8.126 -10.998 -3.171 -5.000 -2.502 -8.640 -5.855 -4.435 eV/atom (same order as the records).